1.
CuHgRu2Se | Alexandria | PBE | optimized geometry; energy relative to the elements, uncorrected = 769.5 meV per atom
1.0
4.581 0.000 0.000
0.000 4.469 0.000
0.000 0.000 4.581
Se Ru Cu Hg
1 2 1 1
Cartesian
0.000 0.000 0.000
2.290 0.000 0.000
0.000 0.000 2.290
0.000 2.234 0.000
2.290 2.234 2.290

=====

2.
TiFe2Hg | Alexandria | PBE | optimized geometry; formation enthalpy at 0 K = 0.552 eV per atom
1.0
3.838 0.000 0.000
0.000 3.838 0.000
1.919 1.919 9.097
Fe Hg Ti
4 2 2
Cartesian
1.084 2.879 2.274
2.879 3.003 6.823
4.798 4.673 6.823
2.754 0.960 2.274
0.000 0.000 0.000
3.838 1.919 4.548
1.919 3.838 4.548
1.919 1.919 0.000

=====

3.
Ac2TePt | Alexandria | PBE | optimized geometry; energy relative to the elements, uncorrected = -951.3 meV per atom
1.0
5.589 0.000 0.000
2.795 4.840 0.000
2.795 1.613 4.564
Ac Te Pt
2 1 1
Cartesian
2.795 1.613 1.141
8.384 4.840 3.423
5.589 3.227 2.282
0.000 0.000 0.000

=====

4.
TlP2H6Se | Alexandria | PBE | optimized geometry; final energy = -3.617 eV/atom
1.0
6.690 -0.824 0.612
-1.637 6.538 0.612
-0.809 -0.915 6.848
Tl H Se P
2 12 2 4
Cartesian
-0.188 4.849 2.324
4.431 -0.050 5.748
5.913 0.901 2.473
2.253 3.932 3.575
4.478 -0.723 2.176
-1.670 3.899 5.600
2.494 4.195 1.466
1.991 0.867 4.497
1.021 2.539 1.073
0.790 2.268 3.183
3.223 2.260 6.999
1.750 0.604 6.607
-0.235 5.522 5.897
3.454 2.531 4.890
0.444 3.475 5.748
3.799 1.324 2.324
0.713 1.487 1.989
0.984 0.432 5.413
3.260 4.367 2.659
3.531 3.312 6.083

=====

5.
LiLa2CdBr | Alexandria | PBE | optimized geometry; energy relative to the elements, uncorrected = -430.5 meV per atom
1.0
-5.216 -0.804 2.442
1.952 -0.320 4.064
-0.550 5.745 0.716
La Br Cd Li
2 1 1 1
Cartesian
-2.608 -0.402 1.221
-0.275 2.872 0.358
0.000 0.000 0.000
-1.907 2.310 3.611
0.976 -0.160 2.032

=====

6.
GaI4 | Alexandria | PBE | optimized geometry; energy relative to the elements, uncorrected = 73.9 meV per atom
1.0
-2.510 4.753 1.947
-5.005 -1.776 -2.116
-1.154 -2.633 4.941
I Ga
4 1
Cartesian
-3.080 -2.205 1.413
0.000 0.000 0.000
-3.757 1.488 -0.084
-1.832 1.060 3.444
-4.334 0.172 2.386

=====

7.
ScAg2Br | Alexandria | PBE | optimized geometry; energy relative to the elements, uncorrected = -164.3 meV per atom
1.0
-2.634 0.096 -2.109
-2.107 -0.308 2.618
-0.266 7.562 0.676
Sc Ag Br
1 2 1
Cartesian
-2.570 5.565 0.762
-0.263 7.479 0.669
-0.136 3.863 0.345
-2.437 1.784 0.424

=====

8.
PuZrTl | Alexandria | PBE | optimized geometry; formation enthalpy at 0 K = 0.156 eV per atom
1.0
-0.241 -4.162 -4.070
-6.745 -5.817 6.347
-2.880 2.485 -2.370
Pu Tl Zr
4 4 4
Cartesian
-0.303 -1.100 -1.453
-1.713 0.652 -2.139
-9.563 -6.393 1.360
-8.152 -8.146 2.046
-4.730 -0.598 0.891
-6.456 -3.573 -0.135
-3.410 -3.920 0.041
-5.136 -6.896 -0.984
-1.985 -5.139 -2.965
-6.560 -5.675 2.023
-3.305 -1.818 -2.117
-7.880 -2.354 2.872

=====

9.
PaPN3 | Alexandria | PBE | optimized geometry; energy relative to the elements, uncorrected = -545.7 meV per atom
1.0
-3.668 -0.007 0.262
-0.172 -2.699 -2.492
0.197 -2.498 2.692
N Pa P
3 1 1
Cartesian
-0.086 -1.349 -1.246
0.098 -1.249 1.346
-1.834 -0.004 0.131
-1.822 -2.602 0.231
0.000 0.000 0.000

=====

10.
Li2ZrSbS4 | Alexandria | PBE | optimized geometry; energy relative to the elements, uncorrected = -1027.9 meV per atom
1.0
-1.171 3.471 0.560
-4.492 -0.711 -4.991
-2.723 -1.835 5.680
Li Sb S Zr
2 1 4 1
Cartesian
-1.947 0.818 3.120
-3.608 -1.273 0.345
0.000 0.000 0.000
-3.183 -1.561 3.020
-4.032 -0.985 -2.331
-2.474 1.082 0.381
-5.913 -0.157 0.868
-2.832 1.380 -2.215

=====

11.
YTa2OsCl | Alexandria | PBE | optimized geometry; energy relative to the elements, uncorrected = 2456.7 meV per atom
1.0
5.105 0.000 0.000
0.000 4.763 0.000
0.000 0.000 5.105
Cl Os Ta Y
1 1 2 1
Cartesian
0.000 2.381 0.000
2.553 2.381 2.553
0.000 0.000 2.553
2.553 0.000 0.000
0.000 0.000 0.000

=====

12.
ZnAs2Se | Alexandria | PBE | optimized geometry; energy relative to the elements, uncorrected = 310.1 meV per atom
1.0
3.393 0.000 0.000
0.000 5.239 0.000
0.000 0.000 4.365
Zn As Se
1 2 1
Cartesian
0.000 2.619 2.183
0.000 0.000 0.000
1.697 2.619 0.000
1.697 0.000 2.183

=====

13.
YScGaPt | Alexandria | PBE | optimized geometry; formation enthalpy at 0 K = -0.912 eV per atom
1.0
3.623 0.000 0.000
0.000 4.368 0.000
-1.812 0.000 5.349
Pt Sc Y Ga
1 1 1 1
Cartesian
1.812 2.184 0.860
0.000 0.000 1.496
1.812 2.184 3.766
0.000 0.000 4.576